1.
VASP calculation (meta-GGA SCAN) on a PBEsol-optimized structure of Nb2CrB2.

a b c (Å): 5.9097 5.9097 3.2322
angles (deg): 90.00 90.00 90.00
Closest atoms and distances in Å follow each position.
Positions (direct):
Nb (0.1810, 0.3190, 0.0000)  6 B 2.37-2.40
Nb (0.3190, 0.8190, 0.0000)  6 B 2.37-2.40
Nb (0.6810, 0.1810, 0.0000)  6 B 2.37-2.40
Nb (0.8190, 0.6810, 0.0000)  6 B 2.37-2.40
Cr (0.0000, 0.0000, 0.5000)  4 B 2.39
Cr (0.5000, 0.5000, 0.5000)  4 B 2.39
B (0.1110, 0.6110, 0.5000)  1 B 1.85
B (0.3890, 0.1110, 0.5000)  1 B 1.85
B (0.6110, 0.8890, 0.5000)  1 B 1.85
B (0.8890, 0.3890, 0.5000)  1 B 1.85

Computed properties:
SG: No. 127
V, Å³/cell: 113
ρ, g cm⁻³: 7.6
Uncorrected energy, eV/atom: -20.54

***

2.
VASP calculation (meta-GGA SCAN) on a PBEsol-optimized structure of MgZn2Pb.

a b c (Å): 5.2667 5.2667 5.2667
angles (deg): 132.96 130.16 70.95
Closest atoms and distances in Å follow each position.
Positions (direct):
Mg (0.0000, 0.0000, 0.0000)  8 Zn 2.99-3.10, 4 Pb 3.06
Zn (0.2479, 0.7479, 0.5000)  4 Mg 2.99-3.10, 4 Pb 3.02-3.07, 4 Zn 3.06
Zn (0.7521, 0.2521, 0.5000)  4 Mg 2.99-3.10, 4 Pb 3.02-3.07, 4 Zn 3.06
Pb (0.5000, 0.5000, 0.0000)  8 Zn 3.02-3.07, 4 Mg 3.06

Computed properties:
E above lowest polymorph, meV/atom: 22
SG: No. 71
V, Å³/cell: 80
ρ, g cm⁻³: 7.5